Model 1:
## TiTeI2Cl (GGA-PBE)

Data for a relaxed structure of TiTeI2Cl. Values from VASP.

Properties
- space-group type = P4/mmm, No. 123
- crystal system = tetragonal
- total moment (μB per formula unit) = 0.000

Cell and atoms, written as Quantum ESPRESSO input:
```
&SYSTEM
  ibrav = 0, nat = 5, ntyp = 4
/
ATOMIC_SPECIES
I 126.90 I.upf
Cl 35.45 Cl.upf
Te 127.60 Te.upf
Ti 47.87 Ti.upf
CELL_PARAMETERS angstrom
-5.031 -1.947 -0.493
1.650 -4.763 1.983
-1.142 1.685 4.998
ATOMIC_POSITIONS crystal
I 0.000 0.500 0.000
I 0.500 0.000 0.000
Cl 0.500 0.500 0.500
Te 0.000 0.000 0.500
Ti 0.000 0.000 0.000
```



Model 2:
## TiTeI2Cl (GGA-PBE)

Data for a relaxed structure of TiTeI2Cl. Values from VASP.

Properties
- space-group type = P4/mmm, No. 123
- crystal system = tetragonal
- total moment (μB per formula unit) = 1.984

Cell and atoms, written as Quantum ESPRESSO input:
```
&SYSTEM
  ibrav = 0, nat = 5, ntyp = 4
/
ATOMIC_SPECIES
I 126.90 I.upf
Cl 35.45 Cl.upf
Te 127.60 Te.upf
Ti 47.87 Ti.upf
CELL_PARAMETERS angstrom
5.458 0.000 0.000
0.000 5.458 0.000
0.000 0.000 5.870
ATOMIC_POSITIONS crystal
I 0.000 0.500 0.000
I 0.500 0.000 0.000
Cl 0.000 0.000 0.000
Te 0.000 0.000 0.500
Ti 0.500 0.500 0.500
```



Pick model 1: it beats the second-best structure by 0.975 eV/atom.



Model 1:
## TlTeI2Cl (GGA-PBE)

Data for a relaxed structure of TlTeI2Cl. Values from VASP.

Properties
- space-group type = P4/mmm, No. 123
- crystal system = tetragonal
- total moment (μB per formula unit) = 0.000

Cell and atoms, written as Quantum ESPRESSO input:
```
&SYSTEM
  ibrav = 0, nat = 5, ntyp = 4
/
ATOMIC_SPECIES
I 126.90 I.upf
Tl 204.38 Tl.upf
Te 127.60 Te.upf
Cl 35.45 Cl.upf
CELL_PARAMETERS angstrom
-2.885 5.000 -2.346
-5.522 -2.570 1.315
0.076 2.338 4.889
ATOMIC_POSITIONS crystal
I 0.000 0.500 0.000
I 0.500 0.000 0.000
Tl 0.500 0.500 0.500
Te 0.000 0.000 0.000
Cl 0.000 0.000 0.500
```



Model 2:
## TlTeI2Cl (GGA-PBE)

Data for a relaxed structure of TlTeI2Cl. Values from VASP.

Properties
- space-group type = P4/mmm, No. 123
- crystal system = tetragonal
- total moment (μB per formula unit) = 0.000

Cell and atoms, written as Quantum ESPRESSO input:
```
&SYSTEM
  ibrav = 0, nat = 5, ntyp = 4
/
ATOMIC_SPECIES
I 126.90 I.upf
Tl 204.38 Tl.upf
Te 127.60 Te.upf
Cl 35.45 Cl.upf
CELL_PARAMETERS angstrom
5.898 0.000 0.000
0.000 5.898 0.000
0.000 0.000 5.487
ATOMIC_POSITIONS crystal
I 0.000 0.500 0.000
I 0.500 0.000 0.000
Tl 0.500 0.500 0.500
Te 0.000 0.000 0.500
Cl 0.000 0.000 0.000
```



Model 3:
## TlTeI2Cl (GGA-PBE)

Data for a relaxed structure of TlTeI2Cl. Values from VASP.

Properties
- space-group type = P4/mmm, No. 123
- crystal system = tetragonal
- total moment (μB per formula unit) = 2.370

Cell and atoms, written as Quantum ESPRESSO input:
```
&SYSTEM
  ibrav = 0, nat = 5, ntyp = 4
/
ATOMIC_SPECIES
I 126.90 I.upf
Tl 204.38 Tl.upf
Te 127.60 Te.upf
Cl 35.45 Cl.upf
CELL_PARAMETERS angstrom
-2.300 -2.618 4.847
4.639 -3.753 0.174
3.060 3.949 3.586
ATOMIC_POSITIONS crystal
I 0.000 0.500 0.000
I 0.500 0.000 0.000
Tl 0.000 0.000 0.000
Te 0.000 0.000 0.500
Cl 0.500 0.500 0.500
```



Pick model 1: it beats the second-best structure by 0.468 eV/atom.



Model 1:
## YTeI2Cl (GGA-PBE)

Data for a relaxed structure of YTeI2Cl. Values from VASP.

Properties
- space-group type = P4/mmm, No. 123
- crystal system = tetragonal
- total moment (μB per formula unit) = 0.000

Cell and atoms, written as Quantum ESPRESSO input:
```
&SYSTEM
  ibrav = 0, nat = 5, ntyp = 4
/
ATOMIC_SPECIES
I 126.90 I.upf
Y 88.91 Y.upf
Te 127.60 Te.upf
Cl 35.45 Cl.upf
CELL_PARAMETERS angstrom
-0.519 -4.463 -3.240
5.514 -0.336 -0.420
0.145 -3.346 4.585
ATOMIC_POSITIONS crystal
I 0.000 0.500 0.000
I 0.500 0.000 0.000
Y 0.500 0.500 0.500
Te 0.000 0.000 0.500
Cl 0.000 0.000 0.000
```



Model 2:
## YTeI2Cl (GGA-PBE)

Data for a relaxed structure of YTeI2Cl. Values from VASP.

Properties
- space-group type = P4/mmm, No. 123
- crystal system = tetragonal
- total moment (μB per formula unit) = 2.072

Cell and atoms, written as Quantum ESPRESSO input:
```
&SYSTEM
  ibrav = 0, nat = 5, ntyp = 4
/
ATOMIC_SPECIES
I 126.90 I.upf
Y 88.91 Y.upf
Te 127.60 Te.upf
Cl 35.45 Cl.upf
CELL_PARAMETERS angstrom
5.889 0.000 0.000
0.000 5.889 0.000
0.000 0.000 6.225
ATOMIC_POSITIONS crystal
I 0.000 0.500 0.000
I 0.500 0.000 0.000
Y 0.000 0.000 0.000
Te 0.000 0.000 0.500
Cl 0.500 0.500 0.500
```



Pick model 2: it beats the second-best structure by 0.736 eV/atom.



Model 1:
## YTe2ICl (GGA-PBE)

Data for a relaxed structure of YTe2ICl. Values from VASP.

Properties
- space-group type = P4/mmm, No. 123
- crystal system = tetragonal
- total moment (μB per formula unit) = 2.459

Cell and atoms, written as Quantum ESPRESSO input:
```
&SYSTEM
  ibrav = 0, nat = 5, ntyp = 4
/
ATOMIC_SPECIES
I 126.90 I.upf
Y 88.91 Y.upf
Te 127.60 Te.upf
Cl 35.45 Cl.upf
CELL_PARAMETERS angstrom
-3.503 -0.069 4.832
-4.827 -0.227 -3.503
0.221 -5.876 0.076
ATOMIC_POSITIONS crystal
I 0.000 0.000 0.500
Y 0.000 0.000 0.000
Te 0.000 0.500 0.000
Te 0.500 0.000 0.000
Cl 0.500 0.500 0.500
```



Model 2:
## YTe2ICl (GGA-PBE)

Data for a relaxed structure of YTe2ICl. Values from VASP.

Properties
- space-group type = P4/mmm, No. 123
- crystal system = tetragonal
- total moment (μB per formula unit) = 0.000

Cell and atoms, written as Quantum ESPRESSO input:
```
&SYSTEM
  ibrav = 0, nat = 5, ntyp = 4
/
ATOMIC_SPECIES
I 126.90 I.upf
Y 88.91 Y.upf
Te 127.60 Te.upf
Cl 35.45 Cl.upf
CELL_PARAMETERS angstrom
5.569 0.000 0.000
0.000 5.569 0.000
0.000 0.000 5.258
ATOMIC_POSITIONS crystal
I 0.000 0.000 0.500
Y 0.500 0.500 0.500
Te 0.000 0.500 0.000
Te 0.500 0.000 0.000
Cl 0.000 0.000 0.000
```



Pick model 1: it beats the second-best structure by 0.415 eV/atom.



Model 1:
## ZnTe2ICl (GGA-PBE)

Data for a relaxed structure of ZnTe2ICl. Values from VASP.

Properties
- space-group type = P4/mmm, No. 123
- crystal system = tetragonal
- total moment (μB per formula unit) = 0.000

Cell and atoms, written as Quantum ESPRESSO input:
```
&SYSTEM
  ibrav = 0, nat = 5, ntyp = 4
/
ATOMIC_SPECIES
I 126.90 I.upf
Zn 65.41 Zn.upf
Te 127.60 Te.upf
Cl 35.45 Cl.upf
CELL_PARAMETERS angstrom
5.352 0.000 0.000
0.000 5.352 0.000
0.000 0.000 5.434
ATOMIC_POSITIONS crystal
I 0.000 0.000 0.500
Zn 0.000 0.000 0.000
Te 0.000 0.500 0.000
Te 0.500 0.000 0.000
Cl 0.500 0.500 0.500
```



Model 2:
## ZnTe2ICl (GGA-PBE)

Data for a relaxed structure of ZnTe2ICl. Values from VASP.

Properties
- space-group type = P4/mmm, No. 123
- crystal system = tetragonal
- total moment (μB per formula unit) = 0.000

Cell and atoms, written as Quantum ESPRESSO input:
```
&SYSTEM
  ibrav = 0, nat = 5, ntyp = 4
/
ATOMIC_SPECIES
I 126.90 I.upf
Zn 65.41 Zn.upf
Te 127.60 Te.upf
Cl 35.45 Cl.upf
CELL_PARAMETERS angstrom
-4.805 2.275 -1.436
-1.954 -4.972 -1.340
-1.899 -0.677 5.282
ATOMIC_POSITIONS crystal
I 0.000 0.000 0.500
Zn 0.500 0.500 0.500
Te 0.000 0.500 0.000
Te 0.500 0.000 0.000
Cl 0.000 0.000 0.000
```



Pick model 1: it beats the second-best structure by 0.405 eV/atom.



Model 1:
## ThI3Cl (GGA-PBE)

Data for a relaxed structure of ThI3Cl. Values from VASP.

Properties
- space-group type = P2_1/m, No. 11
- crystal system = monoclinic
- total moment (μB per formula unit) = 0.000

Cell and atoms, written as Quantum ESPRESSO input:
```
&SYSTEM
  ibrav = 0, nat = 10, ntyp = 3
/
ATOMIC_SPECIES
Th 232.04 Th.upf
I 126.90 I.upf
Cl 35.45 Cl.upf
CELL_PARAMETERS angstrom
4.108 0.305 0.000
-1.369 9.130 0.000
0.000 0.000 12.913
ATOMIC_POSITIONS crystal
Th 0.022 0.212 0.250
Th 0.978 0.788 0.750
I 0.469 0.733 0.564
I 0.531 0.267 0.436
I 0.469 0.733 0.936
I 0.531 0.267 0.064
I 0.076 0.534 0.250
I 0.924 0.466 0.750
Cl 0.486 0.994 0.250
Cl 0.514 0.006 0.750
```



Model 2:
## ThI3Cl (GGA-PBE)

Data for a relaxed structure of ThI3Cl. Values from VASP.

Properties
- space-group type = R-3, No. 148
- crystal system = trigonal
- total moment (μB per formula unit) = 0.000

Cell and atoms, written as Quantum ESPRESSO input:
```
&SYSTEM
  ibrav = 0, nat = 10, ntyp = 3
/
ATOMIC_SPECIES
Th 232.04 Th.upf
I 126.90 I.upf
Cl 35.45 Cl.upf
CELL_PARAMETERS angstrom
-7.611 1.860 -3.030
-6.524 0.795 5.231
-3.133 8.632 1.524
ATOMIC_POSITIONS crystal
Th 0.198 0.198 0.407
Th 0.802 0.802 0.593
I 0.121 0.382 0.680
I 0.816 0.121 0.680
I 0.618 0.184 0.320
I 0.184 0.879 0.320
I 0.879 0.618 0.320
I 0.382 0.816 0.680
Cl 0.305 0.305 0.084
Cl 0.695 0.695 0.916
```



Pick model 2: it beats the second-best structure by 0.068 eV/atom.



Model 1:
## TiI3Cl (GGA-PBE)

Data for a relaxed structure of TiI3Cl. Values from VASP.

Properties
- space-group type = Pm-3m, No. 221
- crystal system = cubic
- total moment (μB per formula unit) = 0.000

Cell and atoms, written as Quantum ESPRESSO input:
```
&SYSTEM
  ibrav = 0, nat = 5, ntyp = 3
/
ATOMIC_SPECIES
I 126.90 I.upf
Cl 35.45 Cl.upf
Ti 47.87 Ti.upf
CELL_PARAMETERS angstrom
5.460 0.000 0.000
0.000 5.460 0.000
0.000 0.000 5.460
ATOMIC_POSITIONS crystal
I 0.000 0.500 0.000
I 0.000 0.000 0.500
I 0.500 0.000 0.000
Cl 0.500 0.500 0.500
Ti 0.000 0.000 0.000
```



Model 2:
## TiI3Cl (GGA-PBE)

Data for a relaxed structure of TiI3Cl. Values from VASP.

Properties
- space-group type = Pm-3m, No. 221
- crystal system = cubic
- total moment (μB per formula unit) = 0.220

Cell and atoms, written as Quantum ESPRESSO input:
```
&SYSTEM
  ibrav = 0, nat = 5, ntyp = 3
/
ATOMIC_SPECIES
I 126.90 I.upf
Cl 35.45 Cl.upf
Ti 47.87 Ti.upf
CELL_PARAMETERS angstrom
-5.104 0.157 2.599
-2.046 -3.780 -3.789
1.610 -4.304 3.423
ATOMIC_POSITIONS crystal
I 0.000 0.500 0.000
I 0.000 0.000 0.500
I 0.500 0.000 0.000
Cl 0.000 0.000 0.000
Ti 0.500 0.500 0.500
```



Pick model 1: it beats the second-best structure by 1.184 eV/atom.



Model 1:
## TiICl3 (GGA-PBE)

Data for a relaxed structure of TiICl3. Values from VASP.

Properties
- space-group type = P2_1/m, No. 11
- crystal system = monoclinic
- total moment (μB per formula unit) = 0.000

Cell and atoms, written as Quantum ESPRESSO input:
```
&SYSTEM
  ibrav = 0, nat = 10, ntyp = 3
/
ATOMIC_SPECIES
Ti 47.87 Ti.upf
I 126.90 I.upf
Cl 35.45 Cl.upf
CELL_PARAMETERS angstrom
6.211 0.000 -0.229
0.000 9.060 0.000
1.223 0.000 8.158
ATOMIC_POSITIONS crystal
Ti 0.216 0.250 0.749
Ti 0.784 0.750 0.251
I 0.474 0.250 0.486
I 0.526 0.750 0.514
Cl 0.014 0.052 0.755
Cl 0.986 0.948 0.245
Cl 0.014 0.448 0.755
Cl 0.986 0.552 0.245
Cl 0.404 0.250 0.958
Cl 0.596 0.750 0.042
```



Model 2:
## TiICl3 (GGA-PBE)

Data for a relaxed structure of TiICl3. Values from VASP.

Properties
- space-group type = C2/c, No. 15
- crystal system = monoclinic
- total moment (μB per formula unit) = 0.000

Cell and atoms, written as Quantum ESPRESSO input:
```
&SYSTEM
  ibrav = 0, nat = 20, ntyp = 3
/
ATOMIC_SPECIES
Ti 47.87 Ti.upf
I 126.90 I.upf
Cl 35.45 Cl.upf
CELL_PARAMETERS angstrom
6.467 -0.024 -0.028
-0.804 10.610 0.014
-0.804 -1.444 10.511
ATOMIC_POSITIONS crystal
Ti 0.250 0.171 0.829
Ti 0.750 0.829 0.171
Ti 0.250 0.672 0.328
Ti 0.750 0.328 0.672
I 0.889 0.572 0.185
I 0.611 0.815 0.428
I 0.111 0.428 0.815
I 0.389 0.185 0.572
Cl 0.586 0.285 0.881
Cl 0.914 0.119 0.715
Cl 0.414 0.715 0.119
Cl 0.086 0.881 0.285
Cl 0.832 0.809 0.973
Cl 0.668 0.027 0.191
Cl 0.168 0.191 0.027
Cl 0.332 0.973 0.809
Cl 0.368 0.483 0.314
Cl 0.132 0.686 0.517
Cl 0.632 0.517 0.686
Cl 0.868 0.314 0.483
```



Pick model 1: it beats the second-best structure by 0.051 eV/atom.